No. 1
A plane-wave DFT calculation with PBE was carried out for an optimized crystal structure of Cs2TmRe2N6.

The space group is R-3m (No. 166, hexagonal axes) and the conventional cell measures 6.4180, 6.4180 and 18.8434 Å, with angles of 90.00, 90.00 and 120.00 degrees. The inequivalent atoms are Cs at (0.0000, 0.0000, 0.2221), Tm at (0.0000, 0.0000, 0.0000), Re at (0.0000, 0.0000, 0.4271) and N at (0.0213, 0.5107, 0.2639).

The crystal system is trigonal. The calculation puts the raw formation energy at -0.36 eV/atom.


No. 2
A plane-wave DFT calculation with PBE was carried out for an optimized crystal structure of CsZrReN4.

The space group is P2_1/m (No. 11) and the conventional cell measures 5.845, 6.136 and 8.268 Å, with angles of 90.00, 107.40 and 90.00 degrees. The inequivalent atoms are Cs at (0.229, 0.250, 0.438), Zr at (0.322, 0.250, 0.957), Re at (0.209, 0.750, 0.126), N at (0.010, 0.250, 0.074), N at (0.010, 0.750, 0.262) and N at (0.426, 0.522, 0.138).

The crystal system is monoclinic. The calculation puts the raw formation energy at -0.55 eV/atom.


No. 3
A plane-wave DFT calculation with PBE was carried out for an optimized crystal structure of Cs2RhN.

The space group is Fm-3m (No. 225) and the conventional cell measures 7.604, 7.604 and 7.604 Å, with angles of 90.00, 90.00 and 90.00 degrees. The inequivalent atoms are Cs at (0.250, 0.250, 0.250), Rh at (0.000, 0.000, 0.000) and N at (0.000, 0.000, 0.500).

The crystal system is cubic. The value obtained for the energy above the most stable polymorph in this dataset is 0 meV/atom. The calculation puts the raw formation energy at 1.46 eV/atom.


No. 4
A plane-wave DFT calculation with PBE was carried out for an optimized crystal structure of CsRhN.

The space group is P2_13 (No. 198) and the conventional cell measures 6.132, 6.132 and 6.132 Å, with angles of 90.00, 90.00 and 90.00 degrees. The inequivalent atoms are Cs at (0.130, 0.130, 0.130), Rh at (0.144, 0.356, 0.644) and N at (0.102, 0.602, 0.898).

The crystal system is cubic. The calculation puts the raw formation energy at 0.72 eV/atom.


No. 5
A plane-wave DFT calculation with PBE was carried out for an optimized crystal structure of Cs2RhN.

The space group is I-42d (No. 122) and the conventional cell measures 6.207, 6.207 and 14.813 Å, with angles of 90.00, 90.00 and 90.00 degrees. The inequivalent atoms are Cs at (0.226, 0.250, 0.125), Rh at (0.000, 0.000, 0.000) and N at (0.000, 0.000, 0.500).

The crystal system is tetragonal. The value obtained for the energy above the most stable polymorph in this dataset is 47 meV/atom. The calculation puts the raw formation energy at 1.50 eV/atom.


No. 6
A plane-wave DFT calculation with PBE was carried out for an optimized crystal structure of CsRh2N.

The space group is I-42d (No. 122) and the conventional cell measures 6.326, 6.326 and 8.943 Å, with angles of 90.00, 90.00 and 90.00 degrees. The inequivalent atoms are Cs at (0.000, 0.000, 0.000), Rh at (0.001, 0.250, 0.625) and N at (0.000, 0.000, 0.500).

The crystal system is tetragonal. The calculation puts the raw formation energy at 0.29 eV/atom.


No. 7
A plane-wave DFT calculation with PBE was carried out for an optimized crystal structure of CsSc2RhN.

The space group is P4/mmm (No. 123) and the conventional cell measures 4.282, 4.282 and 5.788 Å, with angles of 90.00, 90.00 and 90.00 degrees. The inequivalent atoms are Cs at (0.000, 0.000, 0.000), Sc at (0.000, 0.500, 0.500), Rh at (0.500, 0.500, 0.000) and N at (0.000, 0.000, 0.500).

The crystal system is tetragonal. The calculation puts the raw formation energy at -0.06 eV/atom.


No. 8
A plane-wave DFT calculation with PBE was carried out for an optimized crystal structure of CsRhSeN2.

The space group is P4/mmm (No. 123) and the conventional cell measures 4.155, 4.155 and 6.985 Å, with angles of 90.00, 90.00 and 90.00 degrees. The inequivalent atoms are Cs at (0.000, 0.000, 0.000), Rh at (0.500, 0.500, 0.500), Se at (0.000, 0.000, 0.500) and N at (0.000, 0.500, 0.000).

The crystal system is tetragonal. The calculation puts the raw formation energy at 2.71 eV/atom.


Number 1: E_tot -255.00 eV for the cell shown. Number 2: E_tot -117.99 eV for the cell shown. Number 3: E_tot -46.25 eV for the cell shown. Number 4: E_tot -57.44 eV for the cell shown. Number 5: E_tot -45.49 eV for the cell shown. Number 6: E_tot -90.91 eV for the cell shown. Number 7: E_tot -29.47 eV for the cell shown. Number 8: E_tot -14.79 eV for the cell shown.